No. 1
A relaxed structure of AgHg2PO4. Source: Alexandria via LeMat-Bulk, functional PBE.

ΔE to the lowest computed polymorph = 0.000 eV/f.u.
M_tot = 0.000 μB per atom
Calculated volume = 132.3 Å³/f.u.
ΔE_f (raw) = -1160 meV/atom
Space group = Pbam (55)

a b c (Å): 8.8705 9.5098 6.2744
angles (deg): 90.00 90.00 90.00
Atoms (fractional coordinates):
Ag 0.0319 0.1463 0.0000
Ag 0.4681 0.6463 0.0000
Ag 0.5319 0.3537 0.0000
Ag 0.9681 0.8537 0.0000
Hg 0.2488 0.9652 0.2136
Hg 0.2488 0.9652 0.7864
Hg 0.2512 0.4652 0.2136
Hg 0.2512 0.4652 0.7864
Hg 0.7488 0.5348 0.2136
Hg 0.7488 0.5348 0.7864
Hg 0.7512 0.0348 0.2136
Hg 0.7512 0.0348 0.7864
P 0.0434 0.7142 0.5000
P 0.4566 0.2142 0.5000
P 0.5434 0.7858 0.5000
P 0.9566 0.2858 0.5000
O 0.0495 0.2990 0.2909
O 0.0495 0.2990 0.7091
O 0.1208 0.8619 0.5000
O 0.1655 0.5939 0.5000
O 0.3345 0.0939 0.5000
O 0.3792 0.3619 0.5000
O 0.4505 0.7990 0.2909
O 0.4505 0.7990 0.7091
O 0.5495 0.2010 0.2909
O 0.5495 0.2010 0.7091
O 0.6208 0.6381 0.5000
O 0.6655 0.9061 0.5000
O 0.8345 0.4061 0.5000
O 0.8792 0.1381 0.5000
O 0.9505 0.7010 0.2909
O 0.9505 0.7010 0.7091

No. 2
A relaxed structure of AgHgP2O6. Source: Alexandria via LeMat-Bulk, functional PBE.

M_tot = 0.000 μB per atom
Calculated volume = 145.9 Å³/f.u.
ΔE_f (raw) = -1494 meV/atom
Space group = C2/c (15)

a b c (Å): 7.9188 7.9188 4.8045
angles (deg): 99.17 99.17 82.44
Atoms (fractional coordinates):
Ag 0.2418 0.7582 0.7500
Ag 0.7582 0.2418 0.2500
Hg 0.0751 0.9249 0.2500
Hg 0.9249 0.0751 0.7500
P 0.2199 0.3922 0.2499
P 0.3922 0.2199 0.7499
P 0.6078 0.7801 0.2501
P 0.7801 0.6078 0.7501
O 0.0759 0.2798 0.1961
O 0.1817 0.5814 0.3458
O 0.2798 0.0759 0.6961
O 0.3141 0.3787 0.9702
O 0.3787 0.3141 0.4702
O 0.4186 0.8183 0.1542
O 0.5814 0.1817 0.8458
O 0.6213 0.6859 0.5298
O 0.6859 0.6213 0.0298
O 0.7202 0.9241 0.3039
O 0.8183 0.4186 0.6542
O 0.9241 0.7202 0.8039

No. 3
A relaxed structure of PaAgHg2O8. Source: Alexandria via LeMat-Bulk, functional PBE.

M_tot = 0.000 μB per atom
Calculated volume = 176.3 Å³/f.u.
ΔE_f (raw) = -664 meV/atom
Space group = I-4m2 (119)

a b c (Å): 6.1594 6.1594 6.1594
angles (deg): 114.43 114.43 99.96
Atoms (fractional coordinates):
Pa 0.0000 0.0000 0.0000
Ag 0.2500 0.7500 0.5000
Hg 0.5000 0.5000 0.0000
Hg 0.7500 0.2500 0.5000
O 0.2675 0.0849 0.8174
O 0.2675 0.4501 0.1826
O 0.3381 0.0328 0.3054
O 0.5499 0.7325 0.8174
O 0.7274 0.0328 0.6946
O 0.9151 0.7325 0.1826
O 0.9672 0.2726 0.3054
O 0.9672 0.6619 0.6946

No. 4
A relaxed structure of PaAgHg2O6. Source: Alexandria via LeMat-Bulk, functional PBE.

M_tot = 0.000 μB per atom
Calculated volume = 158.7 Å³/f.u.
ΔE_f (raw) = -1303 meV/atom
Space group = C2/m (12)

a b c (Å): 6.4930 6.4930 5.2323
angles (deg): 113.73 113.73 53.71
Atoms (fractional coordinates):
Pa 0.0000 0.0000 0.0000
Ag 0.5000 0.5000 0.5000
Hg 0.2746 0.2746 0.8072
Hg 0.7254 0.7254 0.1928
O 0.1721 0.1721 0.3571
O 0.1820 0.6436 0.1786
O 0.3564 0.8180 0.8214
O 0.6436 0.1820 0.1786
O 0.8180 0.3564 0.8214
O 0.8279 0.8279 0.6429

No. 5
A relaxed structure of PaAgHgO5. Source: Alexandria via LeMat-Bulk, functional PBE.

M_tot = 0.000 μB per atom
Calculated volume = 130.4 Å³/f.u.
ΔE_f (raw) = -1431 meV/atom
Space group = C2/c (15)

a b c (Å): 6.5014 6.5014 8.2760
angles (deg): 98.74 98.74 127.46
Atoms (fractional coordinates):
Pa 0.0000 0.5000 0.0000
Pa 0.5000 0.0000 0.5000
Ag 0.0573 0.9427 0.7500
Ag 0.9427 0.0573 0.2500
Hg 0.4332 0.5668 0.7500
Hg 0.5668 0.4332 0.2500
O 0.1435 0.7837 0.5609
O 0.1957 0.3363 0.8898
O 0.2163 0.8565 0.9391
O 0.3073 0.6927 0.2500
O 0.3363 0.1957 0.3898
O 0.6637 0.8043 0.6102
O 0.6927 0.3073 0.7500
O 0.7837 0.1435 0.0609
O 0.8043 0.6637 0.1102
O 0.8565 0.2163 0.4391

No. 6
A relaxed structure of PaAg2HgO6. Source: Alexandria via LeMat-Bulk, functional PBE.

M_tot = 0.000 μB per atom
Calculated volume = 139.3 Å³/f.u.
ΔE_f (raw) = -1156 meV/atom
Space group = C2/c (15)

a b c (Å): 6.9902 6.9902 5.8436
angles (deg): 91.37 91.37 77.45
Atoms (fractional coordinates):
Pa 0.1642 0.8358 0.7500
Pa 0.8358 0.1642 0.2500
Ag 0.1341 0.3464 0.7654
Ag 0.3464 0.1341 0.2654
Ag 0.6536 0.8659 0.7346
Ag 0.8659 0.6536 0.2346
Hg 0.4205 0.5795 0.2500
Hg 0.5795 0.4205 0.7500
O 0.1115 0.1251 0.5094
O 0.1251 0.1115 0.0094
O 0.1822 0.5755 0.9836
O 0.2126 0.5529 0.5512
O 0.4245 0.8178 0.5164
O 0.4471 0.7874 0.9488
O 0.5529 0.2126 0.0512
O 0.5755 0.1822 0.4836
O 0.7874 0.4471 0.4488
O 0.8178 0.4245 0.0164
O 0.8749 0.8885 0.9906
O 0.8885 0.8749 0.4906